{"formula": "Cs2Mg3UF12", "functional": "PBE", "state": "optimized geometry", "cell": [[3.7578, 2.1695, 6.4170], [-3.7578, 2.1695, 6.4170], [0.0000, -4.3391, 6.4170]], "species": ["Cs", "Cs", "Mg", "Mg", "Mg", "U", "F", "F", "F", "F", "F", "F", "F", "F", "F", "F", "F", "F"], "frac_coords": [[0.0997, 0.0997, 0.0997], [0.9003, 0.9003, 0.9003], [0.0000, 0.5000, 0.5000], [0.5000, 0.0000, 0.5000], [0.5000, 0.5000, 0.0000], [0.5000, 0.5000, 0.5000], [0.1513, 0.5880, 0.5880], [0.2009, 0.2009, 0.5810], [0.2009, 0.5810, 0.2009], [0.4120, 0.4120, 0.8487], [0.4120, 0.8487, 0.4120], [0.4190, 0.7991, 0.7991], [0.5810, 0.2009, 0.2009], [0.5880, 0.1513, 0.5880], [0.5880, 0.5880, 0.1513], [0.7991, 0.4190, 0.7991], [0.7991, 0.7991, 0.4190], [0.8487, 0.4120, 0.4120]], "m_tot_mub_per_cell": 2.00, "formation_energy_uncorrected_ev_per_atom": -3.41, "spacegroup": "R-3m (166)"}